Crystalline CaCdN2F at its relaxed geometry, computed with GGA-PBE.

abc: 4.690 4.690 4.210
angles: 90.00 90.00 90.00
Space group P4/mmm (No. 123)
Inequivalent atoms, fractional coordinates:
Ca 0.000 0.000 0.000 (multiplicity 1)
Cd 0.500 0.500 0.500 (multiplicity 1)
N 0.000 0.500 0.000 (multiplicity 2)
F 0.000 0.000 0.500 (multiplicity 1)

Computed properties:
E_form (uncorrected) in eV/atom: 0.334
Electronic total energy in eV for the cell shown: -19.77


Crystalline CaCdN2F at its relaxed geometry, computed with GGA-PBE.

abc: 4.180 4.180 4.519
angles: 90.00 90.00 90.00
Space group P4/mmm (No. 123)
Inequivalent atoms, fractional coordinates:
Ca 0.000 0.000 0.000 (multiplicity 1)
Cd 0.500 0.500 0.500 (multiplicity 1)
N 0.000 0.500 0.500 (multiplicity 2)
F 0.500 0.500 0.000 (multiplicity 1)

Computed properties:
E_form (uncorrected) in eV/atom: 0.105
Electronic total energy in eV for the cell shown: -20.91


Crystalline NaCaCdF2 at its relaxed geometry, computed with GGA-PBE.

abc: 4.397 4.397 5.730
angles: 90.00 90.00 90.00
Space group P4/mmm (No. 123)
Inequivalent atoms, fractional coordinates:
Na 0.000 0.000 0.000 (multiplicity 1)
Ca 0.000 0.000 0.500 (multiplicity 1)
Cd 0.500 0.500 0.500 (multiplicity 1)
F 0.000 0.500 0.000 (multiplicity 2)

Computed properties:
E_form (uncorrected) in eV/atom: -1.319
Electronic total energy in eV for the cell shown: -14.57


Crystalline NaCaCdF6 at its relaxed geometry, computed with GGA-PBE.

abc: 5.182 5.182 10.667
angles: 90.00 90.00 90.00
Space group P4_2nm (No. 102)
Inequivalent atoms, fractional coordinates:
Na 0.000 0.000 0.000 (multiplicity 2)
Ca 0.000 0.000 0.667 (multiplicity 2)
Cd 0.000 0.000 0.333 (multiplicity 2)
F 0.186 0.186 0.494 (multiplicity 4)
F 0.191 0.191 0.175 (multiplicity 4)
F 0.202 0.202 0.830 (multiplicity 4)

Computed properties:
E_form (uncorrected) in eV/atom: -2.610
Electronic total energy in eV for the cell shown: -77.91


Crystalline Na2CaCdF at its relaxed geometry, computed with GGA-PBE.

abc: 4.926 4.926 4.820
angles: 90.00 90.00 90.00
Space group P4/mmm (No. 123)
Inequivalent atoms, fractional coordinates:
Na 0.000 0.500 0.000 (multiplicity 2)
Ca 0.000 0.000 0.500 (multiplicity 1)
Cd 0.500 0.500 0.500 (multiplicity 1)
F 0.000 0.000 0.000 (multiplicity 1)

Computed properties:
E_form (uncorrected) in eV/atom: -1.136
Electronic total energy in eV for the cell shown: -13.11


Crystalline NaCa2CdF at its relaxed geometry, computed with GGA-PBE.

abc: 5.195 5.195 4.507
angles: 90.00 90.00 90.00
Space group P4/mmm (No. 123)
Inequivalent atoms, fractional coordinates:
Na 0.000 0.000 0.000 (multiplicity 1)
Ca 0.000 0.500 0.500 (multiplicity 2)
Cd 0.500 0.500 0.000 (multiplicity 1)
F 0.000 0.000 0.500 (multiplicity 1)

Computed properties:
E_form (uncorrected) in eV/atom: -1.175
Electronic total energy in eV for the cell shown: -13.98


Crystalline NaCaYCdF8 at its relaxed geometry, computed with GGA-PBE.

abc: 5.500 5.500 10.924
angles: 90.00 90.00 90.00
Space group I-4m2 (No. 119)
Inequivalent atoms, fractional coordinates:
Na 0.000 0.000 0.000 (multiplicity 2)
Ca 0.000 0.500 0.250 (multiplicity 2)
Y 0.000 0.000 0.500 (multiplicity 2)
Cd 0.000 0.500 0.750 (multiplicity 2)
F 0.240 0.240 0.376 (multiplicity 16)

Computed properties:
E_form (uncorrected) in eV/atom: -3.379
Electronic total energy in eV for the cell shown: -132.43